1.
Compound: NpB6Mo2
Source: the Alexandria database
Functional: PBE
Structure: relaxed

Symmetry = P6/mmm
E_form = -0.333 eV/atom
Total magnetization = 0.25 μB per atom
N(E_F) = 5.7 states/eV per cell

a b c (Å): 5.3642 5.3642 3.5160
angles (deg): 90.00 90.00 120.00
Fractional coordinates of all 9 atoms:
Np: 0.0000 0.0000 0.0000
B: 0.0000 0.3389 0.5000
B: 0.0000 0.6611 0.5000
B: 0.3389 0.0000 0.5000
B: 0.3389 0.3389 0.5000
B: 0.6611 0.0000 0.5000
B: 0.6611 0.6611 0.5000
Mo: 0.3333 0.6667 0.0000
Mo: 0.6667 0.3333 0.0000

---

2.
Compound: KNa2In2
Source: the Alexandria database
Functional: PBE
Structure: relaxed

Symmetry = P4/mbm
E_form = -0.062 eV/atom
Total magnetization = 0.00 μB per atom
N(E_F) = 4.3 states/eV per cell

a b c (Å): 9.4557 9.4557 3.6535
angles (deg): 90.00 90.00 90.00
Fractional coordinates of all 10 atoms:
K: 0.0000 0.0000 0.0000
K: 0.5000 0.5000 0.0000
Na: 0.1789 0.3211 0.5000
Na: 0.3211 0.8211 0.5000
Na: 0.6789 0.1789 0.5000
Na: 0.8211 0.6789 0.5000
In: 0.1120 0.6120 0.0000
In: 0.3880 0.1120 0.0000
In: 0.6120 0.8880 0.0000
In: 0.8880 0.3880 0.0000

---

3.
Compound: DyTaRu4
Source: the Alexandria database
Functional: PBE
Structure: relaxed

Symmetry = F-43m
E_form = -0.105 eV/atom
Total magnetization = 0.00 μB per atom
N(E_F) = 8.2 states/eV per cell

a b c (Å): 5.2171 5.2171 5.2171
angles (deg): 60.00 60.00 60.00
Fractional coordinates of all 6 atoms:
Dy: 0.0000 0.0000 0.0000
Ta: 0.2500 0.2500 0.2500
Ru: 0.1254 0.6249 0.6249
Ru: 0.6249 0.1254 0.6249
Ru: 0.6249 0.6249 0.1254
Ru: 0.6249 0.6249 0.6249

---

4.
Compound: TaOs2Ru
Source: the Alexandria database
Functional: PBE
Structure: relaxed

Symmetry = Pmm2
E_form = -0.064 eV/atom
Total magnetization = 0.00 μB per atom
N(E_F) = 3.3 states/eV per cell

a b c (Å): 2.8000 3.8505 5.6251
angles (deg): 90.00 90.00 90.00
Fractional coordinates of all 4 atoms:
Ta: 0.0000 0.0000 0.0000
Os: 0.0000 0.0000 0.4976
Os: 0.5000 0.5000 0.2700
Ru: 0.5000 0.5000 0.7430

---

5.
Compound: AcThBi3
Source: the Alexandria database
Functional: PBE
Structure: relaxed

Symmetry = Pm-3m
E_form = -0.025 eV/atom
Total magnetization = 0.00 μB per atom
N(E_F) = 3.8 states/eV per cell

a b c (Å): 6.0618 6.0618 6.0618
angles (deg): 90.00 90.00 90.00
Fractional coordinates of all 5 atoms:
Ac: 0.0000 0.0000 0.0000
Th: 0.5000 0.5000 0.5000
Bi: 0.0000 0.5000 0.5000
Bi: 0.5000 0.0000 0.5000
Bi: 0.5000 0.5000 0.0000

---

6.
Compound: NaAc2SiO6
Source: the Alexandria database
Functional: PBE
Structure: relaxed

Symmetry = P4mm
Calculated total energy = -71.441 eV/f.u.
Total magnetization = 0.01 μB per atom
N(E_F) = 5.6 states/eV per cell

a b c (Å): 5.4689 5.4689 4.5772
angles (deg): 90.00 90.00 90.00
Fractional coordinates of all 10 atoms:
Na: 0.0000 0.0000 0.0000
Ac: 0.0000 0.5000 0.4569
Ac: 0.5000 0.0000 0.4569
Si: 0.5000 0.5000 0.9861
O: 0.0000 0.0000 0.5181
O: 0.2829 0.2829 0.0790
O: 0.2829 0.7171 0.0790
O: 0.5000 0.5000 0.6166
O: 0.7171 0.2829 0.0790
O: 0.7171 0.7171 0.0790